V2Hg2PdSe6 PBE optimized geometry; formation energy (no corrections) = -0.414 eV/atom; total magnetic moment = 1.776 μB per formula unit
1.0
5.962 0.083 -0.140
-2.875 5.224 -0.140
-1.347 -2.316 8.740
V Hg Pd Se
2 2 1 6
direct
0.298 0.702 0.500 V
0.702 0.298 0.500 V
0.839 0.161 0.000 Hg
0.161 0.839 0.000 Hg
0.000 0.000 0.500 Pd
0.725 0.725 0.650 Se
0.116 0.446 0.689 Se
0.275 0.275 0.350 Se
0.446 0.116 0.689 Se
0.884 0.554 0.311 Se
0.554 0.884 0.311 Se


Zn2HgPdSe PBE optimized geometry; formation energy (no corrections) = 0.719 eV/atom; total magnetic moment = 0.000 μB per formula unit
1.0
4.911 0.000 0.000
0.000 5.467 0.000
0.000 0.000 4.911
Zn Se Hg Pd
2 1 1 1
direct
0.000 0.000 0.500 Zn
0.500 0.000 0.000 Zn
0.000 0.500 0.000 Se
0.000 0.000 0.000 Hg
0.500 0.500 0.500 Pd


no.,volume (Å³ per atom),D(E_F) (states/eV per cell)
1,24.6,2.84
2,26.4,2.12